A plane-wave DFT calculation with GGA-PBEsol was carried out for a relaxed LiTiW3 crystal.

Calculated values
E = -0.3294 Ha/atom

Cell lengths 4.2248, 4.2248, 4.2248 Å; angles 90.00, 90.00, 90.00 degrees
With the nearest neighbours (Å) after each atom.
Fractional positions:
Li (0.0000, 0.0000, 0.0000)  6 W 2.11
W (0.0000, 0.5000, 0.0000)  2 Li 2.11
W (0.0000, 0.0000, 0.5000)  2 Li 2.11
W (0.5000, 0.0000, 0.0000)  2 Li 2.11
Ti (0.5000, 0.5000, 0.5000)  12 W 2.99